--- one ---
Material: AgBrF
Method: DFT, PBE-GGA
State: relaxed

total magnetization	0.000	μB/f.u.

Lattice parameters (Å, degrees): 4.2455 4.2459 7.8621 81.80 81.96 88.90
Space group P-1 (No. 2)
Symmetry-distinct sites (fractional):
Ag 0.0000 0.0000 0.0000 x1
Ag 0.5000 0.5000 0.5000 x1
Br 0.0271 0.4729 0.7499 x2
F 0.5000 0.0000 0.0000 x1
F 0.5000 0.0000 0.5000 x1

=====

--- two ---
Material: AgBrF
Method: DFT, PBE-GGA
State: relaxed

total magnetization	0.000	μB/f.u.

Lattice parameters (Å, degrees): 5.0197 5.0197 9.4468 90.00 90.00 120.00
Space group P3_212 (No. 153)
Symmetry-distinct sites (fractional):
Ag 0.0742 0.5371 0.0000 x3
Br 0.1759 0.3519 0.3333 x3
F 0.5769 0.2885 0.0000 x3

=====

Quick ranking, most stable first: one, two.

=====

--- one ---
Material: AgBrF
Method: DFT, PBE-GGA
State: relaxed

total magnetization	1.049	μB/f.u.

Lattice parameters (Å, degrees): 6.2326 6.2326 6.2326 90.00 90.00 90.00
Space group F-43m (No. 216)
Symmetry-distinct sites (fractional):
Ag 0.0000 0.0000 0.0000 x4
Br 0.2500 0.2500 0.7500 x4
F 0.2500 0.2500 0.2500 x4

=====

--- two ---
Material: AgBrF
Method: DFT, PBE-GGA
State: relaxed

total magnetization	0.987	μB/f.u.

Lattice parameters (Å, degrees): 3.7452 3.7452 5.4538 90.00 90.00 120.00
Space group P3m1 (No. 156)
Symmetry-distinct sites (fractional):
Ag 0.0000 0.0000 0.0000 x1
Br 0.6667 0.3333 0.3024 x1
F 0.3333 0.6667 0.8358 x1

=====

Quick ranking, most stable first: two, one.

=====

--- one ---
Material: Ag3Br2F2
Method: DFT, PBE-GGA
State: relaxed

total magnetization	0.000	μB/f.u.

Lattice parameters (Å, degrees): 6.8651 7.6625 6.4119 90.00 115.19 90.00
Space group P2_1/c (No. 14)
Symmetry-distinct sites (fractional):
Ag 0.0000 0.0000 0.0000 x2
Ag 0.4727 0.1400 0.7566 x4
Br 0.2359 0.6177 0.9364 x4
F 0.2891 0.1160 0.9863 x4

=====

--- two ---
Material: Ag3Br2F2
Method: DFT, PBE-GGA
State: relaxed

total magnetization	0.000	μB/f.u.

Lattice parameters (Å, degrees): 12.9812 3.7395 6.6409 90.00 111.33 90.00
Space group C2/m (No. 12)
Symmetry-distinct sites (fractional):
Ag 0.0000 0.0000 0.0000 x2
Ag 0.2181 0.0000 0.7075 x4
Br 0.0943 0.5000 0.8181 x4
F 0.1766 0.0000 0.3156 x4

=====

Quick ranking, most stable first: two, one.